VASP calculation (GGA-PBE) on a relaxed CdCoAg2 crystal.

Properties
- space-group type = No. 44
- ΔE_f (eV/atom) = 0.30
- spin magnetization (μB/atom) = 0.40

Cell: 5.5331 5.5331 5.5331 Å, 148.77 128.71 61.28°
Sites, in units of the cell vectors:
Cd  0.0000  0.0000  0.0000
Co  0.2385  0.7385  0.5000
Ag  0.4721  0.4721  0.0000
Ag  0.7351  0.2351  0.5000